1.
ZrPaMoRu: optimized geometry, GGA-PBE.

Geometry as CIF:
```
data_ZrPaMoRu
_space_group_name_H-M_alt 'P 1'
_space_group_IT_number 1
_cell_length_a 4.7756
_cell_length_b 4.7756
_cell_length_c 4.7756
_cell_angle_alpha 60.00
_cell_angle_beta 60.00
_cell_angle_gamma 60.00
loop_
_space_group_symop_operation_xyz
'x,y,z'
loop_
_atom_site_label
_atom_site_fract_x
_atom_site_fract_y
_atom_site_fract_z
Ru1 0.0000 0.0000 0.0000
Pa1 0.7500 0.7500 0.7500
Zr1 0.2500 0.2500 0.2500
Mo1 0.5000 0.5000 0.5000
```

- space group = F-43m, No. 216
- spin magnetization (μB per formula unit) = 0.0
- formation energy from the elements (eV per atom) = -0.248
- volume (Å³ per atom) = 19.3
- calculated total energy (eV/atom) = -9.7855

---

2.
TaAgTe2: optimized geometry, GGA-PBE.

Geometry as CIF:
```
data_TaAgTe2
_space_group_name_H-M_alt 'P 1'
_space_group_IT_number 1
_cell_length_a 10.8786
_cell_length_b 10.8786
_cell_length_c 10.8786
_cell_angle_alpha 17.65
_cell_angle_beta 17.65
_cell_angle_gamma 17.65
loop_
_space_group_symop_operation_xyz
'x,y,z'
loop_
_atom_site_label
_atom_site_fract_x
_atom_site_fract_y
_atom_site_fract_z
Te1 0.2308 0.2308 0.2308
Te2 0.0255 0.0255 0.0255
Ag1 0.4896 0.4896 0.4896
Ta1 0.7541 0.7541 0.7541
```

- space group = R3m, No. 160
- E_form (uncorrected) (eV per atom) = 0.207
- spin magnetization (μB per formula unit) = 0.0
- volume (Å³ per atom) = 25.8
- calculated total energy (eV/atom) = -5.0396

---

3.
AcPt4Au6: optimized geometry, GGA-PBE.

Geometry as CIF:
```
data_AcPt4Au6
_space_group_name_H-M_alt 'P 1'
_space_group_IT_number 1
_cell_length_a 7.0227
_cell_length_b 7.0227
_cell_length_c 7.0227
_cell_angle_alpha 86.59
_cell_angle_beta 121.99
_cell_angle_gamma 121.99
loop_
_space_group_symop_operation_xyz
'x,y,z'
loop_
_atom_site_label
_atom_site_fract_x
_atom_site_fract_y
_atom_site_fract_z
Pt1 0.3144 0.7415 0.7415
Pt2 0.0000 0.2585 0.5729
Pt3 0.0000 0.5729 0.2585
Pt4 0.6856 0.4271 0.4271
Au1 0.5740 0.0962 0.0962
Au2 0.0000 0.9038 0.4778
Au3 0.0000 0.4778 0.9038
Au4 0.5000 0.0000 0.5000
Au5 0.4260 0.5222 0.5222
Au6 0.5000 0.5000 0.0000
Ac1 0.0000 0.0000 0.0000
```

- space group = I-42m, No. 121
- spin magnetization (μB per formula unit) = 0.0
- formation energy from the elements (eV per atom) = -0.125
- volume (Å³ per atom) = 21.6
- calculated total energy (eV/atom) = -4.4833